This record from Alexandria via LeMat-Bulk describes crystalline Ca4TePb at its relaxed geometry. The functional is PBE-GGA.

POSCAR file:
```
Ca4TePb
1.0
1.5123 -2.9705 5.7151
3.0821 3.3876 4.7748
-3.2485 1.6201 5.5313
Ca Te Pb
4 1 1
Direct
0.3751 0.8747 0.3751
0.8747 0.3751 0.3751
0.3751 0.3751 0.8747
0.3751 0.3751 0.3751
0.0000 0.0000 0.0000
0.7500 0.7500 0.7500
```

Calculated values
Raw formation energy (eV per atom): -0.10

---

This record from Alexandria via LeMat-Bulk describes crystalline CdTe2PtN at its relaxed geometry. The functional is PBE-GGA.

POSCAR file:
```
CdTe2PtN
1.0
5.6065 0.0000 0.0000
0.0000 5.6065 0.0000
0.0000 0.0000 3.9576
N Te Pt Cd
1 2 1 1
Direct
0.0000 0.0000 0.5000
0.0000 0.5000 0.0000
0.5000 0.0000 0.0000
0.5000 0.5000 0.5000
0.0000 0.0000 0.0000
```

Calculated values
Excess energy over the best structure of this formula in the dataset (meV per atom): 1001
Raw formation energy (eV per atom): 1.38

---

This record from Alexandria via LeMat-Bulk describes crystalline SiSe at its relaxed geometry. The functional is PBE-GGA.

POSCAR file:
```
SiSe
1.0
3.3316 0.0000 0.0000
0.0000 3.3316 0.0000
0.0000 0.0000 3.3316
Se Si
1 1
Direct
0.0000 0.0000 0.0000
0.5000 0.5000 0.5000
```

Calculated values
Raw formation energy (eV per atom): 0.47

---

This record from Alexandria via LeMat-Bulk describes crystalline Zr2Si2P at its relaxed geometry. The functional is PBE-GGA.

POSCAR file:
```
Zr2Si2P
1.0
-2.7691 -2.3274 5.9982
-5.2296 -2.9896 -3.5743
2.0547 -3.2299 -0.3047
P Si Zr
2 4 4
Direct
0.0000 0.0000 0.0000
0.5000 0.5000 0.0000
0.1176 0.6176 0.5000
0.6176 0.8824 0.5000
0.8824 0.3824 0.5000
0.3824 0.1176 0.5000
0.3190 0.8190 0.0000
0.8190 0.6810 0.0000
0.6810 0.1810 0.0000
0.1810 0.3190 0.0000
```

Calculated values
Raw formation energy (eV per atom): -0.66